Crystalline Ga3ReGe at its relaxed geometry. Source: Alexandria, functional PBE-GGA. Values from VASP.

Properties
For the formation energy, the calculation gives 87 kJ/mol of formula units. As for the spin magnetization: 0.000 μB/atom. The value obtained for the density of states at the Fermi level is 0.462 states/eV/atom. The calculation puts the energy above the lowest structure with this stoichiometry at 0.168 eV/atom. Its mass density is 8.822 g cm⁻³.

Geometry as Quantum ESPRESSO input:
```
&SYSTEM
  ibrav = 0, nat = 10, ntyp = 3
/
ATOMIC_SPECIES
Re 186.21 Re.upf
Ga 69.72 Ga.upf
Ge 72.64 Ge.upf
ATOMIC_POSITIONS angstrom
Re -2.566 2.343 1.850
Re 16.162 2.343 -0.924
Ga 5.086 2.343 -1.172
Ga 7.871 2.343 -0.520
Ga 11.595 2.343 0.203
Ga 5.725 2.343 1.445
Ga 8.510 2.343 2.097
Ga 2.001 2.343 0.722
Ge 0.183 2.343 2.661
Ge 13.413 2.343 -1.736
CELL_PARAMETERS angstrom
13.596 0.000 0.925
4.837 2.343 -2.437
-4.837 2.343 2.437
```

Crystalline Ga3ReGe at its relaxed geometry. Source: Alexandria, functional PBE-GGA. Values from VASP.

Properties
For the formation energy, the calculation gives 50 kJ/mol of formula units. As for the spin magnetization: 0.000 μB/atom. The value obtained for the density of states at the Fermi level is 0.305 states/eV/atom. The calculation puts the energy above the lowest structure with this stoichiometry at 0.091 eV/atom. Its mass density is 8.423 g cm⁻³.

Geometry as Quantum ESPRESSO input:
```
&SYSTEM
  ibrav = 0, nat = 10, ntyp = 3
/
ATOMIC_SPECIES
Ga 69.72 Ga.upf
Re 186.21 Re.upf
Ge 72.64 Ge.upf
ATOMIC_POSITIONS angstrom
Ga 1.746 -5.441 -1.455
Ga -1.070 -2.799 5.689
Ga -2.695 -0.748 4.746
Ga 1.138 -5.217 4.180
Ga 3.370 -7.492 -0.512
Ga -0.463 -3.022 0.053
Re 0.032 -3.776 -2.441
Re 0.643 -4.463 6.675
Ge 2.005 -5.824 1.367
Ge -1.330 -2.416 2.867
CELL_PARAMETERS angstrom
-0.566 -2.352 -4.142
4.618 -5.830 2.680
-3.377 -0.057 5.696
```

Crystalline Ga3ReGe at its relaxed geometry. Source: Alexandria, functional PBE-GGA. Values from VASP.

Properties
For the formation energy, the calculation gives 14 kJ/mol of formula units. As for the spin magnetization: 0.000 μB/atom. The value obtained for the density of states at the Fermi level is 0.126 states/eV/atom. The calculation puts the energy above the lowest structure with this stoichiometry at 0.016 eV/atom. Its mass density is 8.764 g cm⁻³.

Geometry as Quantum ESPRESSO input:
```
&SYSTEM
  ibrav = 0, nat = 10, ntyp = 3
/
ATOMIC_SPECIES
Ga 69.72 Ga.upf
Ge 72.64 Ge.upf
Re 186.21 Re.upf
ATOMIC_POSITIONS angstrom
Ga 4.154 -4.664 2.612
Ga 2.917 -7.233 2.783
Ga -0.008 -3.666 2.914
Ga 2.365 -3.207 1.024
Ga -1.560 -7.768 3.502
Ga 0.649 -6.166 4.128
Ge 1.957 -5.298 6.606
Ge 1.702 -0.906 1.853
Re 1.059 -8.652 3.661
Re -0.329 -2.329 0.830
CELL_PARAMETERS angstrom
-2.635 -5.176 5.110
1.122 -4.629 -1.724
4.166 0.152 2.303
```

Question: Which of these has the lowest energy above the lowest structure with this stoichiometry?
Answer: number 3